# 1
Entry from Alexandria: a geometry-optimized LiAgCl3 structure (PBE).

Unit cell a=4.764 b=4.764 c=4.764 alpha=90.00 beta=90.00 gamma=90.00
Fractional coordinates of all 5 atoms:
Li (0.000, 0.000, 0.000)
Ag (0.500, 0.500, 0.500)
Cl (0.000, 0.000, 0.500)
Cl (0.000, 0.500, 0.000)
Cl (0.500, 0.000, 0.000)

Results
Relative energy among the computed polymorphs, eV/atom: 0.382
Energy relative to the elements, uncorrected, eV per formula unit: -2.60
E_tot, eV per formula unit: -12.9
Volume, Å³/atom: 21.629


# 2
Entry from Alexandria: a geometry-optimized LiAg3Cl4 structure (PBE).

Unit cell a=7.209 b=7.209 c=7.209 alpha=131.37 beta=131.37 gamma=71.23
Fractional coordinates of all 8 atoms:
Li (0.000, 0.000, 0.000)
Ag (0.250, 0.750, 0.500)
Ag (0.500, 0.500, 0.000)
Ag (0.750, 0.250, 0.500)
Cl (0.117, 0.117, 0.468)
Cl (0.351, 0.883, 0.000)
Cl (0.649, 0.649, 0.532)
Cl (0.883, 0.351, 0.000)

Results
Energy relative to the elements, uncorrected, eV per formula unit: -6.28
E_tot, eV per formula unit: -24.1
Volume, Å³/atom: 25.822


# 3
Entry from Alexandria: a geometry-optimized Li2AgCl structure (PBE).

Unit cell a=7.121 b=7.121 c=3.474 alpha=102.90 beta=102.90 gamma=28.23
Fractional coordinates of all 4 atoms:
Li (0.000, 0.000, 0.000)
Li (0.647, 0.647, 0.638)
Ag (0.227, 0.227, 0.210)
Cl (0.472, 0.472, 0.474)

Results
Relative energy among the computed polymorphs, eV/atom: 0.020
Energy relative to the elements, uncorrected, eV per formula unit: -3.17
E_tot, eV per formula unit: -11.7
Volume, Å³/atom: 20.273


# 4
Entry from Alexandria: a geometry-optimized LiAgCl3 structure (PBE).

Unit cell a=6.394 b=6.394 c=6.953 alpha=114.36 beta=114.36 gamma=66.62
Fractional coordinates of all 10 atoms:
Li (0.218, 0.782, 0.500)
Li (0.782, 0.218, 0.000)
Ag (0.442, 0.928, 0.078)
Ag (0.928, 0.442, 0.578)
Cl (0.058, 0.820, 0.818)
Cl (0.129, 0.382, 0.319)
Cl (0.382, 0.129, 0.819)
Cl (0.501, 0.692, 0.304)
Cl (0.692, 0.501, 0.804)
Cl (0.820, 0.058, 0.318)

Results
Relative energy among the computed polymorphs, eV/atom: 0.000
Energy relative to the elements, uncorrected, eV per formula unit: -4.51
E_tot, eV per formula unit: -14.8
Volume, Å³/atom: 22.690


# 5
Entry from Alexandria: a geometry-optimized Li2AgCl structure (PBE).

Unit cell a=7.225 b=7.225 c=7.225 alpha=154.42 beta=152.97 gamma=37.55
Fractional coordinates of all 4 atoms:
Li (0.000, 0.000, 0.000)
Li (0.718, 0.218, 0.500)
Ag (0.329, 0.829, 0.500)
Cl (0.572, 0.572, 0.000)

Results
Relative energy among the computed polymorphs, eV/atom: 0.023
Energy relative to the elements, uncorrected, eV per formula unit: -3.16
E_tot, eV per formula unit: -11.7
Volume, Å³/atom: 18.470


# 6
Entry from Alexandria: a geometry-optimized LiMgAgCl4 structure (PBE).

Unit cell a=7.695 b=7.695 c=7.695 alpha=121.22 beta=120.61 gamma=88.42
Fractional coordinates of all 14 atoms:
Li (0.500, 0.000, 0.000)
Li (0.500, 0.500, 0.500)
Mg (0.000, 0.000, 0.000)
Mg (0.500, 0.000, 0.500)
Ag (0.106, 0.356, 0.750)
Ag (0.894, 0.644, 0.250)
Cl (0.252, 0.226, 0.026)
Cl (0.255, 0.231, 0.477)
Cl (0.255, 0.778, 0.023)
Cl (0.300, 0.774, 0.526)
Cl (0.700, 0.226, 0.474)
Cl (0.745, 0.222, 0.977)
Cl (0.745, 0.769, 0.523)
Cl (0.748, 0.774, 0.974)

Results
Energy relative to the elements, uncorrected, eV per formula unit: -10.05
E_tot, eV per formula unit: -23.8
Volume, Å³/atom: 22.682


# 7
Entry from Alexandria: a geometry-optimized LiMgAg2Cl6 structure (PBE).

Unit cell a=6.555 b=6.556 c=7.110 alpha=62.62 beta=62.78 gamma=60.05
Fractional coordinates of all 10 atoms:
Li (0.000, 0.000, 0.000)
Mg (0.518, 0.514, 0.453)
Ag (0.200, 0.197, 0.406)
Ag (0.708, 0.704, 0.883)
Cl (0.132, 0.416, 0.675)
Cl (0.297, 0.907, 0.186)
Cl (0.420, 0.775, 0.675)
Cl (0.612, 0.294, 0.186)
Cl (0.778, 0.129, 0.677)
Cl (0.910, 0.609, 0.185)

Results
Energy relative to the elements, uncorrected, eV per formula unit: -10.82
E_tot, eV per formula unit: -31.1
Volume, Å³/atom: 22.456


# 8
Entry from Alexandria: a geometry-optimized Li2MgAgCl6 structure (PBE).

Unit cell a=8.885 b=8.885 c=6.570 alpha=104.25 beta=104.25 gamma=79.55
Fractional coordinates of all 20 atoms:
Li (0.103, 0.307, 0.229)
Li (0.307, 0.103, 0.729)
Li (0.693, 0.897, 0.271)
Li (0.897, 0.693, 0.771)
Mg (0.417, 0.583, 0.750)
Mg (0.583, 0.417, 0.250)
Ag (0.120, 0.880, 0.250)
Ag (0.880, 0.120, 0.750)
Cl (0.082, 0.160, 0.472)
Cl (0.160, 0.082, 0.972)
Cl (0.165, 0.646, 0.943)
Cl (0.321, 0.447, 0.384)
Cl (0.354, 0.835, 0.557)
Cl (0.447, 0.321, 0.884)
Cl (0.553, 0.679, 0.116)
Cl (0.646, 0.165, 0.443)
Cl (0.679, 0.553, 0.616)
Cl (0.835, 0.354, 0.057)
Cl (0.840, 0.918, 0.028)
Cl (0.918, 0.840, 0.528)

Results
Energy relative to the elements, uncorrected, eV per formula unit: -12.88
E_tot, eV per formula unit: -32.2
Volume, Å³/atom: 24.158


# 9
Entry from Alexandria: a geometry-optimized Li2MnAgCl6 structure (PBE).

Unit cell a=6.315 b=6.450 c=6.819 alpha=66.08 beta=64.77 gamma=62.55
Fractional coordinates of all 10 atoms:
Li (0.000, 0.000, 0.000)
Li (0.477, 0.449, 0.538)
Mn (0.673, 0.666, 0.965)
Ag (0.195, 0.174, 0.424)
Cl (0.036, 0.746, 0.746)
Cl (0.296, 0.607, 0.198)
Cl (0.391, 0.072, 0.730)
Cl (0.619, 0.874, 0.199)
Cl (0.739, 0.432, 0.747)
Cl (0.877, 0.266, 0.240)

Results
Energy relative to the elements, uncorrected, eV per formula unit: -11.81
E_tot, eV per formula unit: -38.7
Volume, Å³/atom: 21.525


# 10
Entry from Alexandria: a geometry-optimized LiMnAgCl5 structure (PBE).

Unit cell a=7.295 b=7.295 c=8.930 alpha=103.16 beta=103.16 gamma=96.97
Fractional coordinates of all 16 atoms:
Li (0.000, 0.000, 0.000)
Li (0.000, 0.000, 0.500)
Mn (0.380, 0.620, 0.750)
Mn (0.620, 0.380, 0.250)
Ag (0.289, 0.711, 0.250)
Ag (0.711, 0.289, 0.750)
Cl (0.063, 0.937, 0.250)
Cl (0.211, 0.717, 0.551)
Cl (0.283, 0.789, 0.949)
Cl (0.311, 0.347, 0.116)
Cl (0.347, 0.311, 0.616)
Cl (0.653, 0.689, 0.384)
Cl (0.689, 0.653, 0.884)
Cl (0.717, 0.211, 0.051)
Cl (0.789, 0.283, 0.449)
Cl (0.937, 0.063, 0.750)

Results
Energy relative to the elements, uncorrected, eV per formula unit: -7.86
E_tot, eV per formula unit: -31.0
Volume, Å³/atom: 27.691


# 11
Entry from Alexandria: a geometry-optimized LiMn2AgCl8 structure (PBE).

Unit cell a=7.335 b=7.335 c=7.335 alpha=109.22 beta=109.22 gamma=109.97
Fractional coordinates of all 12 atoms:
Li (0.000, 0.000, 0.000)
Mn (0.500, 0.500, 0.000)
Mn (0.750, 0.250, 0.500)
Ag (0.250, 0.750, 0.500)
Cl (0.322, 0.127, 0.804)
Cl (0.322, 0.518, 0.196)
Cl (0.377, 0.076, 0.301)
Cl (0.482, 0.678, 0.804)
Cl (0.776, 0.076, 0.699)
Cl (0.873, 0.678, 0.196)
Cl (0.924, 0.224, 0.301)
Cl (0.924, 0.623, 0.699)

Results
Energy relative to the elements, uncorrected, eV per formula unit: -10.59
E_tot, eV per formula unit: -48.5
Volume, Å³/atom: 25.313


# 12
Entry from Alexandria: a geometry-optimized LiMnAgCl6 structure (PBE).

Unit cell a=6.272 b=6.272 c=11.612 alpha=90.00 beta=90.00 gamma=120.00
Fractional coordinates of all 18 atoms:
Li (0.333, 0.667, 0.250)
Li (0.667, 0.333, 0.750)
Mn (0.333, 0.667, 0.750)
Mn (0.667, 0.333, 0.250)
Ag (0.000, 0.000, 0.000)
Ag (0.000, 0.000, 0.500)
Cl (0.029, 0.372, 0.636)
Cl (0.029, 0.656, 0.864)
Cl (0.344, 0.372, 0.864)
Cl (0.344, 0.971, 0.636)
Cl (0.372, 0.029, 0.136)
Cl (0.372, 0.344, 0.364)
Cl (0.628, 0.656, 0.636)
Cl (0.628, 0.971, 0.864)
Cl (0.656, 0.029, 0.364)
Cl (0.656, 0.628, 0.136)
Cl (0.971, 0.344, 0.136)
Cl (0.971, 0.628, 0.364)

Results
Energy relative to the elements, uncorrected, eV per formula unit: -8.66
E_tot, eV per formula unit: -33.7
Volume, Å³/atom: 21.975


> What is the E_tot in the eighth record?

-32.2 eV per formula unit


Repeat the twelfth record exactly.
Entry from Alexandria: a geometry-optimized LiMnAgCl6 structure (PBE).

Unit cell a=6.272 b=6.272 c=11.612 alpha=90.00 beta=90.00 gamma=120.00
Fractional coordinates of all 18 atoms:
Li (0.333, 0.667, 0.250)
Li (0.667, 0.333, 0.750)
Mn (0.333, 0.667, 0.750)
Mn (0.667, 0.333, 0.250)
Ag (0.000, 0.000, 0.000)
Ag (0.000, 0.000, 0.500)
Cl (0.029, 0.372, 0.636)
Cl (0.029, 0.656, 0.864)
Cl (0.344, 0.372, 0.864)
Cl (0.344, 0.971, 0.636)
Cl (0.372, 0.029, 0.136)
Cl (0.372, 0.344, 0.364)
Cl (0.628, 0.656, 0.636)
Cl (0.628, 0.971, 0.864)
Cl (0.656, 0.029, 0.364)
Cl (0.656, 0.628, 0.136)
Cl (0.971, 0.344, 0.136)
Cl (0.971, 0.628, 0.364)

Results
Energy relative to the elements, uncorrected, eV per formula unit: -8.66
E_tot, eV per formula unit: -33.7
Volume, Å³/atom: 21.975